Entry 1:
## AsPtOF2 (GGA-PBE)

Data for a relaxed structure of AsPtOF2.

abc: 4.474 4.474 3.821
angles: 90.00 90.00 90.00
Space group P4/mmm (No. 123)
Asymmetric unit:
As 0.000 0.000 0.000
Pt 0.500 0.500 0.500
O 0.500 0.500 0.000
F 0.000 0.500 0.500

The excess energy over the best structure of this formula in the dataset comes out at 0.2287 eV per atom. Its uncorrected formation energy is -0.108 eV/atom. Its total energy is -3.99 eV per atom.

Entry 2:
## RbAsOF4 (GGA-PBE)

Data for a relaxed structure of RbAsOF4.

abc: 5.202 6.363 14.013
angles: 90.00 98.64 90.00
Space group P2_1/c (No. 14)
Asymmetric unit:
Rb 0.096 0.125 0.152
As 0.480 0.610 0.082
O 0.302 0.098 0.509
F 0.254 0.606 0.166
F 0.287 0.679 0.522
F 0.331 0.190 0.850
F 0.331 0.577 0.839

The excess energy over the best structure of this formula in the dataset comes out at 0.0049 eV per atom. Its uncorrected formation energy is -2.243 eV/atom. Its total energy is -4.82 eV per atom.

Entry 3:
## Rb2AsOF6 (GGA-PBE)

Data for a relaxed structure of Rb2AsOF6.

abc: 9.035 9.035 9.035
angles: 90.00 90.00 90.00
Space group Fm-3m (No. 225)
Asymmetric unit:
Rb 0.250 0.250 0.250
As 0.000 0.000 0.000
O 0.000 0.000 0.500
F 0.000 0.000 0.204

Its uncorrected formation energy is -1.923 eV/atom. Its total energy is -4.20 eV per atom.

Entry 4:
## Rb2AsOF5 (GGA-PBE)

Data for a relaxed structure of Rb2AsOF5.

abc: 6.040 6.040 9.172
angles: 90.00 90.00 90.00
Space group I4mm (No. 107)
Asymmetric unit:
Rb 0.000 0.500 0.000
As 0.000 0.000 0.238
O 0.000 0.000 0.054
F 0.000 0.000 0.441
F 0.214 0.214 0.262

Its uncorrected formation energy is -2.347 eV/atom. Its total energy is -4.67 eV per atom.

Entry 5:
## RbAsOF2 (GGA-PBE)

Data for a relaxed structure of RbAsOF2.

abc: 4.519 4.519 3.935
angles: 90.00 90.00 90.00
Space group P4/mmm (No. 123)
Asymmetric unit:
Rb 0.000 0.000 0.000
As 0.500 0.500 0.500
O 0.500 0.500 0.000
F 0.000 0.500 0.500

The excess energy over the best structure of this formula in the dataset comes out at 0.0000 eV per atom. Its uncorrected formation energy is -1.835 eV/atom. Its total energy is -4.70 eV per atom.

Entry 6:
## RbAsOF2 (GGA-PBE)

Data for a relaxed structure of RbAsOF2.

abc: 4.859 4.859 4.383
angles: 90.00 90.00 90.00
Space group P4/mmm (No. 123)
Asymmetric unit:
Rb 0.000 0.000 0.000
As 0.500 0.500 0.500
O 0.000 0.000 0.500
F 0.000 0.500 0.000

The excess energy over the best structure of this formula in the dataset comes out at 1.8853 eV per atom. Its uncorrected formation energy is 0.050 eV/atom. Its total energy is -2.81 eV per atom.

Entry 7:
## RbAsOF4 (GGA-PBE)

Data for a relaxed structure of RbAsOF4.

abc: 5.505 6.089 15.016
angles: 90.00 109.64 90.00
Space group P2_1/c (No. 14)
Asymmetric unit:
Rb 0.151 0.126 0.149
As 0.479 0.113 0.420
O 0.322 0.108 0.509
F 0.251 0.578 0.842
F 0.274 0.173 0.853
F 0.296 0.674 0.522
F 0.356 0.601 0.165

The excess energy over the best structure of this formula in the dataset comes out at 0.0000 eV per atom. Its uncorrected formation energy is -2.248 eV/atom. Its total energy is -4.83 eV per atom.

Entry 8:
## Rb2AsO2F4 (GGA-PBE)

Data for a relaxed structure of Rb2AsO2F4.

abc: 10.401 5.965 5.017
angles: 90.00 92.37 90.00
Space group C2/m (No. 12)
Asymmetric unit:
Rb 0.170 0.000 0.301
As 0.000 0.500 0.000
O 0.139 0.500 0.208
F 0.073 0.278 0.793

Its uncorrected formation energy is -1.963 eV/atom. Its total energy is -4.63 eV per atom.

Entry 9:
## AsRhOF2 (GGA-PBE)

Data for a relaxed structure of AsRhOF2.

abc: 4.215 4.215 4.048
angles: 90.00 90.00 90.00
Space group P4/mmm (No. 123)
Asymmetric unit:
As 0.000 0.000 0.000
Rh 0.500 0.500 0.500
O 0.000 0.000 0.500
F 0.000 0.500 0.000

The excess energy over the best structure of this formula in the dataset comes out at 0.0000 eV per atom. Its uncorrected formation energy is -0.484 eV/atom. Its total energy is -4.62 eV per atom.

Entry 10:
## AsRhO2F (GGA-PBE)

Data for a relaxed structure of AsRhO2F.

abc: 3.980 3.980 4.042
angles: 90.00 90.00 90.00
Space group P4/mmm (No. 123)
Asymmetric unit:
As 0.000 0.000 0.000
Rh 0.500 0.500 0.500
O 0.000 0.500 0.500
F 0.500 0.500 0.000

Its uncorrected formation energy is -0.188 eV/atom. Its total energy is -4.95 eV per atom.

Entry 11:
## AsRhOF2 (GGA-PBE)

Data for a relaxed structure of AsRhOF2.

abc: 4.379 4.379 3.756
angles: 90.00 90.00 90.00
Space group P4/mmm (No. 123)
Asymmetric unit:
As 0.000 0.000 0.000
Rh 0.500 0.500 0.500
O 0.500 0.500 0.000
F 0.000 0.500 0.500

The excess energy over the best structure of this formula in the dataset comes out at 0.1359 eV per atom. Its uncorrected formation energy is -0.348 eV/atom. Its total energy is -4.49 eV per atom.

Entry 12:
## AsRhO2F (GGA-PBE)

Data for a relaxed structure of AsRhO2F.

abc: 3.985 3.985 4.041
angles: 90.00 90.00 90.00
Space group P4/mmm (No. 123)
Asymmetric unit:
As 0.000 0.000 0.000
Rh 0.500 0.500 0.500
O 0.000 0.500 0.000
F 0.000 0.000 0.500

Its uncorrected formation energy is -0.245 eV/atom. Its total energy is -5.00 eV per atom.

Among the records above, which one has the highest uncorrected formation energy?
number 6